# GGA-PBE KRu2Pb, relaxed
# raw total energy: -4.887 eV/atom
# ρ: 7.971 g/cm³
data_KRu2Pb
_symmetry_space_group_name_H-M 'P 4/m m m'
_symmetry_Int_Tables_number 123
_symmetry_space_group_name_Hall '-P 4 2'
_cell_length_a 3.517
_cell_length_b 3.517
_cell_length_c 7.554
_cell_angle_alpha 90.00
_cell_angle_beta 90.00
_cell_angle_gamma 90.00
loop_
_atom_site_label
_atom_site_type_symbol
_atom_site_fract_x
_atom_site_fract_y
_atom_site_fract_z
K1 K 0.000 0.000 0.000
Ru1 Ru 0.500 0.500 0.328
Pb1 Pb 0.000 0.000 0.500

=====

# GGA-PBE KRu2Pb, relaxed
# raw total energy: -4.765 eV/atom
# ρ: 9.315 g/cm³
data_KRu2Pb
_symmetry_space_group_name_H-M 'F -4 3 m'
_symmetry_Int_Tables_number 216
_symmetry_space_group_name_Hall 'F -4 2 3'
_cell_length_a 6.838
_cell_length_b 6.838
_cell_length_c 6.838
_cell_angle_alpha 90.00
_cell_angle_beta 90.00
_cell_angle_gamma 90.00
loop_
_atom_site_label
_atom_site_type_symbol
_atom_site_fract_x
_atom_site_fract_y
_atom_site_fract_z
K1 K 0.000 0.000 0.000
Ru1 Ru 0.000 0.000 0.500
Ru2 Ru 0.250 0.250 0.250
Pb1 Pb 0.250 0.250 0.750